Record 1
Nd2ScGa3Rh4 after structural relaxation. Source: Alexandria, functional GGA-PBE.

Unit cell a=4.254 b=4.254 c=10.709 alpha=90.00 beta=90.00 gamma=90.00
Space group P-4m2 (No. 115)
Asymmetric unit:
1 Nd 0.000 0.500 0.229 (multiplicity 2)
2 Sc 0.000 0.000 0.500 (multiplicity 1)
3 Ga 0.000 0.500 0.879 (multiplicity 2)
4 Ga 0.500 0.500 0.500 (multiplicity 1)
5 Rh 0.000 0.000 0.000 (multiplicity 1)
6 Rh 0.000 0.500 0.644 (multiplicity 2)
7 Rh 0.500 0.500 0.000 (multiplicity 1)

Values from the calculation:
DFT formation energy	-0.82	eV per atom
total magnetization	0.00	μB/f.u.

---

Record 2
Nd2ScGa2Rh5 after structural relaxation. Source: Alexandria, functional GGA-PBE.

Unit cell a=10.123 b=10.123 c=3.546 alpha=90.00 beta=90.00 gamma=90.00
Space group P4/mbm (No. 127)
Asymmetric unit:
1 Nd 0.174 0.326 0.000 (multiplicity 4)
2 Sc 0.000 0.000 0.000 (multiplicity 2)
3 Ga 0.123 0.623 0.000 (multiplicity 4)
4 Rh 0.000 0.500 0.500 (multiplicity 2)
5 Rh 0.067 0.792 0.500 (multiplicity 8)

Values from the calculation:
DFT formation energy	-0.77	eV per atom
total magnetization	0.00	μB/f.u.

---

Record 3
NdScGaRh after structural relaxation. Source: Alexandria, functional GGA-PBE.

Unit cell a=6.957 b=6.957 c=6.957 alpha=90.00 beta=90.00 gamma=90.00
Space group F-43m (No. 216)
Asymmetric unit:
1 Nd 0.000 0.000 0.000 (multiplicity 4)
2 Sc 0.000 0.000 0.500 (multiplicity 4)
3 Ga 0.250 0.250 0.750 (multiplicity 4)
4 Rh 0.250 0.250 0.250 (multiplicity 4)

Values from the calculation:
DFT formation energy	-0.59	eV per atom
total magnetization	0.00	μB/f.u.

---

Record 4
Nd2GaSi2Rh5 after structural relaxation. Source: Alexandria, functional GGA-PBE.

Unit cell a=9.906 b=9.906 c=3.486 alpha=90.00 beta=90.00 gamma=90.00
Space group P4/mbm (No. 127)
Asymmetric unit:
1 Nd 0.176 0.324 0.000 (multiplicity 4)
2 Ga 0.000 0.000 0.000 (multiplicity 2)
3 Si 0.122 0.622 0.000 (multiplicity 4)
4 Rh 0.000 0.500 0.500 (multiplicity 2)
5 Rh 0.067 0.786 0.500 (multiplicity 8)

Values from the calculation:
ΔE_f (raw)	-0.85	eV/atom
total magnetization	0.00	μB/f.u.